Record 1
Tl2SiAsI | Alexandria | PBE | optimized geometry; formation energy from raw total energies = 272 kJ/mol of formula units; DFT total energy = -2.707 eV/atom; size of the total moment = 1.3 μB per formula unit
1.0
-0.225 0.702 -5.417
2.264 -4.838 -0.721
-4.956 -2.306 -0.093
I Tl Si As
1 2 1 1
Cartesian
1.132 -2.419 -0.360
-0.112 0.351 -2.709
-2.478 -1.153 -0.047
0.000 0.000 0.000
-1.458 -3.221 -3.116

---

Record 2
VSi2AsI | Alexandria | PBE | optimized geometry; formation energy from raw total energies = 501 kJ/mol of formula units; DFT total energy = -4.194 eV/atom; size of the total moment = 0.3 μB per formula unit
1.0
4.986 0.000 0.000
0.000 4.773 0.000
0.000 0.000 4.986
V I Si As
1 1 2 1
Cartesian
0.000 2.386 0.000
2.493 2.386 2.493
2.493 0.000 0.000
0.000 0.000 2.493
0.000 0.000 0.000

---

Record 3
Sm3AsI7 | Alexandria | PBE | optimized geometry; formation energy from raw total energies = -1296 kJ/mol of formula units; DFT total energy = -3.917 eV/atom; size of the total moment = 1.1 μB per formula unit
1.0
7.434 0.000 0.000
0.000 9.016 0.000
0.000 -4.508 7.808
I Sm As
7 3 1
Cartesian
0.135 0.000 2.688
0.178 4.508 2.603
0.135 2.180 6.464
4.041 4.508 5.142
4.041 2.309 1.333
0.135 -2.180 6.464
4.041 6.707 1.333
5.735 -2.196 3.937
5.735 0.000 7.741
5.735 2.196 3.937
4.396 0.000 5.205

---

Record 4
Sm2AsI2 | Alexandria | PBE | optimized geometry; formation energy from raw total energies = -724 kJ/mol of formula units; DFT total energy = -4.938 eV/atom; size of the total moment = 0.0 μB per formula unit
1.0
4.193 0.000 0.783
2.037 3.680 0.707
-0.099 -0.079 12.152
I Sm As
2 2 1
Cartesian
2.419 0.256 10.284
3.712 3.344 3.359
2.755 2.889 8.482
3.375 0.712 5.161
0.969 1.800 6.430